Compound: LuZn
Source: the Open Quantum Materials Database
Functional: GGA-PBE
Structure: optimized geometry

a b c (Å): 3.4035 3.4035 4.5869
angles (deg): 90.00 90.00 120.00
Sites, in units of the cell vectors:
Zn 0.6667 0.3333 0.5000
Lu 0.0000 0.0000 0.0000

Summary:
The calculation puts the energy of formation at -52 meV per atom. The electronic total energy comes out at -5.89 eV/f.u.



Compound: LuZn
Source: the Open Quantum Materials Database
Functional: GGA-PBE
Structure: optimized geometry

a b c (Å): 16.3288 7.0079 4.6124
angles (deg): 90.00 90.00 90.02
Sites, in units of the cell vectors:
Zn 0.2378 0.2534 0.5000
Zn 0.3714 0.1498 0.0000
Zn 0.7746 0.1682 0.0000
Zn 0.0729 0.1498 0.5000
Zn 0.7378 0.4967 0.5000
Zn 0.1698 0.5818 0.5000
Zn 0.8715 0.6002 0.0000
Zn 0.7066 0.4966 0.0000
Zn 0.5730 0.6002 0.5000
Zn 0.2067 0.2533 0.0000
Zn 0.6698 0.1682 0.5000
Zn 0.2746 0.5818 0.0000
Lu 0.5038 0.0074 0.5000
Lu 0.0037 0.7426 0.5000
Lu 0.9407 0.0074 0.0000
Lu 0.8953 0.3157 0.5000
Lu 0.4407 0.7426 0.0000
Lu 0.0491 0.4343 0.0000
Lu 0.3010 0.8823 0.5000
Lu 0.8008 0.8676 0.5000
Lu 0.5488 0.3154 0.0000
Lu 0.3956 0.4346 0.5000
Lu 0.6434 0.8677 0.0000
Lu 0.1436 0.8824 0.0000

Summary:
The calculation puts the energy of formation at -109 meV per atom. The electronic total energy comes out at -6.01 eV/f.u.



Compound: LuZn
Source: the Open Quantum Materials Database
Functional: GGA-PBE
Structure: optimized geometry

a b c (Å): 6.1534 8.9575 4.6909
angles (deg): 90.00 90.00 90.00
Sites, in units of the cell vectors:
Lu 0.4875 0.2069 0.0000
Lu 0.9876 0.6264 0.0000
Lu 0.7006 0.4449 0.5000
Lu 0.2006 0.3885 0.5000
Lu 0.8614 0.0726 0.5000
Lu 0.3615 0.7607 0.5000
Zn 0.4551 0.5544 0.0000
Zn 0.9551 0.2789 0.0000
Zn 0.6458 0.8825 0.0000
Zn 0.1458 0.9509 0.0000
Zn 0.8496 0.7626 0.5000
Zn 0.3495 0.0708 0.5000

Summary:
The calculation puts the energy of formation at -221 meV per atom. The electronic total energy comes out at -6.23 eV/f.u.



Compound: LuZn
Source: the Open Quantum Materials Database
Functional: GGA-PBE
Structure: optimized geometry

a b c (Å): 4.6541 3.7209 5.1848
angles (deg): 90.00 90.00 90.00
Sites, in units of the cell vectors:
Zn 0.8176 0.5000 0.5000
Zn 0.0158 0.0000 0.0000
Lu 0.3037 0.0000 0.5000
Lu 0.5296 0.5000 0.0000

Summary:
The calculation puts the energy of formation at -141 meV per atom. The electronic total energy comes out at -6.07 eV/f.u.



Compound: Lu6Zn23
Source: the Open Quantum Materials Database
Functional: GGA-PBE
Structure: optimized geometry

a b c (Å): 8.8446 8.8446 8.8446
angles (deg): 120.00 90.00 120.00
Sites, in units of the cell vectors:
Zn 0.3301 0.3398 0.6699
Zn 0.3301 0.6602 0.9903
Zn 0.5000 0.5000 0.0000
Zn 0.9903 0.6602 0.3301
Zn 0.0000 0.5000 0.5000
Zn 0.8783 0.7566 0.1217
Zn 0.1217 0.2434 0.3652
Zn 0.5000 0.5000 0.5000
Zn 0.6348 0.7566 0.8783
Zn 0.1217 0.2434 0.8783
Zn 0.3652 0.2434 0.1217
Zn 0.6699 0.6602 0.3301
Zn 0.3301 0.6602 0.6699
Zn 0.1217 0.7566 0.8783
Zn 0.8783 0.7566 0.6348
Zn 0.8783 0.2434 0.1217
Zn 0.0000 0.0000 0.5000
Zn 0.6699 0.3398 0.0097
Zn 0.6699 0.3398 0.3301
Zn 0.0097 0.3398 0.6699
Zn 0.5000 0.0000 0.0000
Zn 0.0000 0.5000 0.0000
Zn 0.0000 0.0000 0.0000
Lu 0.2975 0.0000 0.2975
Lu 0.2975 0.5950 0.2975
Lu 0.7025 0.0000 0.2975
Lu 0.7025 0.0000 0.7025
Lu 0.7025 0.4050 0.7025
Lu 0.2975 0.0000 0.7025

Summary:
The calculation puts the energy of formation at -287 meV per atom. The electronic total energy comes out at -64.56 eV/f.u.



Compound: LuZn
Source: the Open Quantum Materials Database
Functional: GGA-PBE
Structure: optimized geometry

a b c (Å): 3.4864 3.4864 3.4864
angles (deg): 90.00 90.00 90.00
Sites, in units of the cell vectors:
Lu 0.0000 0.0000 0.0000
Zn 0.5000 0.5000 0.5000

Summary:
The calculation puts the energy of formation at -356 meV per atom. The electronic total energy comes out at -6.50 eV/f.u.



Compound: LuZn
Source: the Open Quantum Materials Database
Functional: GGA-PBE
Structure: optimized geometry

a b c (Å): 6.3766 6.3766 5.1470
angles (deg): 90.00 90.00 120.00
Sites, in units of the cell vectors:
Zn 0.3334 0.6666 0.5000
Zn 0.9852 0.4926 0.0000
Zn 0.5074 0.4926 0.0000
Zn 0.5074 0.0148 0.0000
Lu 0.3388 0.1694 0.5000
Lu 0.0000 0.0000 0.0000
Lu 0.8306 0.6612 0.5000
Lu 0.8306 0.1694 0.5000

Summary:
The calculation puts the energy of formation at 73 meV per atom. The electronic total energy comes out at -5.64 eV/f.u.



Compound: LuZn
Source: the Open Quantum Materials Database
Functional: GGA-PBE
Structure: optimized geometry

a b c (Å): 4.8153 9.5457 4.7850
angles (deg): 90.00 90.00 75.40
Sites, in units of the cell vectors:
Lu 0.8695 0.4260 0.0000
Lu 0.4954 0.1740 0.0000
Lu 0.6709 0.8000 0.0000
Lu 0.0104 0.1535 0.5000
Lu 0.3639 0.4465 0.5000
Zn 0.7789 0.6300 0.5000
Zn 0.1945 0.7999 0.5000
Zn 0.2557 0.6295 0.0000
Zn 0.0852 0.9707 0.0000
Zn 0.6089 0.9700 0.5000

Summary:
The calculation puts the energy of formation at -224 meV per atom. The electronic total energy comes out at -6.24 eV/f.u.